# 1
Here is a relaxed TlCr2Cl crystal from the Alexandria database. Energies are from PBE-GGA.

It has space group Imm2 (No. 44), with a = 3.198 Å, b = 4.923 Å, c = 10.912 Å, α = 90.00°, β = 90.00° and γ = 90.00°. The distinct sites, in fractional coordinates, are Tl at (0.000, 0.000, 0.000), Cr at (0.000, 0.000, 0.471), Cr at (0.000, 0.500, 0.151) and Cl at (0.000, 0.500, 0.779).

Its energy relative to the lowest polymorph listed for this composition is 183.2 meV per atom. As for the spin magnetization: 0.39 μB/f.u. As for the crystal system: orthorhombic. The value obtained for the uncorrected formation energy is 315 meV per atom. The total energy comes out at -0.4079 Ry per atom.

---

# 2
Here is a relaxed Zr2BeMoBr crystal from the Alexandria database. Energies are from PBE-GGA.

It has space group P4/mmm (No. 123), with a = 5.057 Å, b = 5.057 Å, c = 4.488 Å, α = 90.00°, β = 90.00° and γ = 90.00°. The distinct sites, in fractional coordinates, are Zr at (0.000, 0.500, 0.000), Be at (0.000, 0.000, 0.500), Mo at (0.000, 0.000, 0.000) and Br at (0.500, 0.500, 0.500).

As for the spin magnetization: 0.00 μB/f.u. As for the crystal system: tetragonal. The value obtained for the uncorrected formation energy is 681 meV per atom. The total energy comes out at -0.4399 Ry per atom.

---

# 3
Here is a relaxed Pa2MnAu crystal from the Alexandria database. Energies are from PBE-GGA.

It has space group R-3m (No. 166, hexagonal axes), with a = 3.6975 Å, b = 3.6975 Å, c = 25.9520 Å, α = 90.00°, β = 90.00° and γ = 120.00°. The distinct sites, in fractional coordinates, are Pa at (0.0000, 0.0000, 0.1110), Mn at (0.0000, 0.0000, 0.5000) and Au at (0.0000, 0.0000, 0.0000).

The formation energy is 0.3434 eV/atom. Its energy relative to the lowest polymorph listed for this composition is 492.3 meV per atom. As for the spin magnetization: 0.00 μB/f.u. As for the crystal system: trigonal. The total energy comes out at -0.5524 Ry per atom.

---

# 4
Here is a relaxed Th2GeN crystal from the Alexandria database. Energies are from PBE-GGA.

It has space group R3m (No. 160, hexagonal axes), with a = 3.8216 Å, b = 3.8216 Å, c = 21.3451 Å, α = 90.00°, β = 90.00° and γ = 120.00°. The distinct sites, in fractional coordinates, are Th at (0.0000, 0.0000, 0.0000), Th at (0.0000, 0.0000, 0.1512), Ge at (0.0000, 0.0000, 0.5764) and N at (0.0000, 0.0000, 0.7517).

As for the spin magnetization: 0.00 μB/f.u. As for the crystal system: trigonal. The value obtained for the uncorrected formation energy is -676 meV per atom. The total energy comes out at -0.5602 Ry per atom.

---

- Which formula does entry 2 have?
  Zr2BeMoBr